[1]
## Dy4Zn2H (PBE)

Data for a relaxed structure of Dy4Zn2H.

Density of states at the Fermi level (states/eV per cell): 4.628
Energy (eV/atom): -3.682

The structure in POSCAR format:
```
Dy4Zn2H
1.0
4.651 0.000 0.000
0.000 4.651 0.000
2.325 2.325 7.378
H Zn Dy
1 2 4
Direct
0.000 0.000 0.000 H
0.625 0.625 0.749 Zn
0.375 0.375 0.251 Zn
0.816 0.816 0.369 Dy
0.184 0.184 0.631 Dy
0.000 0.500 0.000 Dy
0.500 0.000 0.000 Dy
```

***

[2]
## K3Si (PBE)

Data for a relaxed structure of K3Si.

Density of states at the Fermi level (states/eV per cell): 3.170
Uncorrected formation energy (eV/f.u.): 1.168

The structure in POSCAR format:
```
K3Si
1.0
5.943 -0.814 0.615
3.718 4.707 0.615
2.580 1.040 5.262
K Si
3 1
Direct
0.500 0.500 0.500 K
0.750 0.750 0.750 K
0.250 0.250 0.250 K
0.000 0.000 0.000 Si
```

***

[3]
## AlCd2Re (PBE)

Data for a relaxed structure of AlCd2Re.

ΔH_f (0 K) (eV/atom): 0.554
Density of states at the Fermi level (states/eV per cell): 3.243

The structure in POSCAR format:
```
AlCd2Re
1.0
2.839 0.000 0.000
0.000 2.839 0.000
0.000 0.000 9.113
Re Al Cd
1 1 2
Direct
0.500 0.500 0.250 Re
0.500 0.500 0.750 Al
0.000 0.000 0.007 Cd
0.000 0.000 0.493 Cd
```

***

[4]
## SrLi2Pr (PBE)

Data for a relaxed structure of SrLi2Pr.

ΔH_f (0 K) (eV/atom): 0.203
Density of states at the Fermi level (states/eV per cell): 4.576

The structure in POSCAR format:
```
SrLi2Pr
1.0
-2.898 2.180 -0.871
-3.481 -1.215 0.557
-1.976 4.699 10.359
Sr Li Pr
1 2 1
Direct
0.667 0.667 0.000 Sr
0.087 0.087 0.740 Li
0.247 0.247 0.260 Li
0.500 0.500 0.500 Pr
```